1.
Crystalline Ce5PuTl3 at its relaxed geometry. Source: Alexandria via LeMat-Bulk, functional PBE.

POSCAR file:
```
Ce5PuTl3
1.0
-4.3596 4.3596 6.6297
4.3596 -4.3596 6.6297
4.3596 4.3596 -6.6297
Ce Pu Tl
10 2 6
direct
0.0000 0.0000 0.0000 Ce
0.0312 0.5312 0.8773 Ce
0.1538 0.0312 0.5000 Ce
0.3462 0.8462 0.8773 Ce
0.4688 0.3462 0.5000 Ce
0.5000 0.5000 0.0000 Ce
0.5312 0.6538 0.5000 Ce
0.6538 0.1538 0.1227 Ce
0.8462 0.9688 0.5000 Ce
0.9688 0.4688 0.1227 Ce
0.2500 0.7500 0.5000 Pu
0.7500 0.2500 0.5000 Pu
0.1198 0.3802 0.5000 Tl
0.2500 0.2500 0.0000 Tl
0.3802 0.8802 0.2604 Tl
0.6198 0.1198 0.7396 Tl
0.7500 0.7500 0.0000 Tl
0.8802 0.6198 0.5000 Tl
```

Space group: I4/mcm
Total DFT energy (no corrections): -104.36 eV for the cell shown
ΔE_f: -11.6 kJ/mol of atoms
DOS(E_F): 46.3 states/eV/cell

---

2.
Crystalline RbInAg2Cl6 at its relaxed geometry. Source: Alexandria via LeMat-Bulk, functional PBE.

POSCAR file:
```
RbInAg2Cl6
1.0
7.0675 0.0000 0.0000
-3.5263 6.1308 0.0000
-3.5291 -2.0352 6.4695
Rb In Ag Cl
1 1 2 6
direct
0.0000 0.0000 0.0000 Rb
0.9492 0.4749 0.4234 In
0.5592 0.2797 0.8389 Ag
0.6046 0.8031 0.4078 Ag
0.0917 0.4653 0.1715 Cl
0.0989 0.2407 0.6350 Cl
0.3950 0.8579 0.6348 Cl
0.5457 0.0813 0.1719 Cl
0.7076 0.6281 0.1728 Cl
0.7779 0.5370 0.6358 Cl
```

ΔE_f (raw): -1.003 eV per atom
Space group: P1
Total DFT energy (no corrections): -30.52 eV for the cell shown
DOS(E_F): 0.0 states/eV/cell

---

3.
Crystalline Er4AgPt at its relaxed geometry. Source: Alexandria via LeMat-Bulk, functional PBE.

POSCAR file:
```
Er4AgPt
1.0
4.8747 0.0000 0.0000
0.0000 4.8747 0.0000
0.0000 0.0000 6.9968
Er Ag Pt
4 1 1
direct
0.0000 0.5000 0.2376 Er
0.0000 0.5000 0.7624 Er
0.5000 0.0000 0.2376 Er
0.5000 0.0000 0.7624 Er
0.0000 0.0000 0.5000 Ag
0.5000 0.5000 0.0000 Pt
```

Space group: P4/mmm
Total DFT energy (no corrections): -29.75 eV for the cell shown
ΔE_f: -42.0 kJ/mol of atoms
DOS(E_F): 6.1 states/eV/cell

---

4.
Crystalline Al2Tc2Mo at its relaxed geometry. Source: Alexandria via LeMat-Bulk, functional PBE.

POSCAR file:
```
Al2Tc2Mo
1.0
6.8563 0.0000 0.0000
0.0000 6.8563 0.0000
0.0000 0.0000 3.1276
Al Tc Mo
4 4 2
direct
0.1323 0.3677 0.0000 Al
0.3677 0.8677 0.0000 Al
0.6323 0.1323 0.0000 Al
0.8677 0.6323 0.0000 Al
0.1655 0.6655 0.5000 Tc
0.3345 0.1655 0.5000 Tc
0.6655 0.8345 0.5000 Tc
0.8345 0.3345 0.5000 Tc
0.0000 0.0000 0.0000 Mo
0.5000 0.5000 0.0000 Mo
```

Space group: P4/mbm
Total DFT energy (no corrections): -78.99 eV for the cell shown
ΔE_f: -8.6 kJ/mol of atoms
DOS(E_F): 9.8 states/eV/cell

---

5.
Crystalline AcPbF5 at its relaxed geometry. Source: Alexandria via LeMat-Bulk, functional PBE.

POSCAR file:
```
AcPbF5
1.0
5.2376 -3.9097 0.0000
5.2376 3.9097 0.0000
-3.5704 0.0000 7.9026
Ac Pb F
2 2 10
direct
0.0412 0.9588 0.7500 Ac
0.9588 0.0412 0.2500 Ac
0.5000 0.5000 0.0000 Pb
0.5000 0.5000 0.5000 Pb
0.1711 0.8229 0.0345 F
0.1771 0.8289 0.4655 F
0.2320 0.2624 0.3704 F
0.2624 0.2320 0.8704 F
0.3584 0.6416 0.7500 F
0.6416 0.3584 0.2500 F
0.7376 0.7680 0.1296 F
0.7680 0.7376 0.6296 F
0.8229 0.1711 0.5345 F
0.8289 0.1771 0.9655 F
```

ΔE_f (raw): -3.347 eV per atom
Space group: C2/c
Total DFT energy (no corrections): -81.21 eV for the cell shown
DOS(E_F): 0.0 states/eV/cell

---

6.
Crystalline WC2 at its relaxed geometry. Source: Alexandria via LeMat-Bulk, functional PBE.

POSCAR file:
```
WC2
1.0
2.8225 0.0000 0.0000
0.0000 17.4063 0.0000
0.0000 0.0000 2.8165
W C
4 8
direct
0.0000 0.1039 0.0000 W
0.0000 0.8961 0.0000 W
0.5000 0.3961 0.0000 W
0.5000 0.6039 0.0000 W
0.0000 0.0000 0.5000 C
0.0000 0.3549 0.5000 C
0.0000 0.5000 0.0000 C
0.0000 0.6451 0.5000 C
0.5000 0.0000 0.0000 C
0.5000 0.1451 0.5000 C
0.5000 0.5000 0.5000 C
0.5000 0.8549 0.5000 C
```

Space group: Cmmm
Total DFT energy (no corrections): -111.25 eV for the cell shown
ΔE_f: 115.4 kJ/mol of atoms
DOS(E_F): 1.7 states/eV/cell

---

7.
Crystalline Pm4Cu5Ir2 at its relaxed geometry. Source: Alexandria via LeMat-Bulk, functional PBE.

POSCAR file:
```
Pm4Cu5Ir2
1.0
6.8402 0.0000 0.0000
0.0000 4.0496 0.0000
-0.4545 0.0000 8.3021
Pm Cu Ir
4 5 2
direct
0.2145 0.0000 0.3712 Pm
0.2459 0.0000 0.9162 Pm
0.7541 0.0000 0.0838 Pm
0.7855 0.0000 0.6288 Pm
0.1925 0.5000 0.6463 Cu
0.4542 0.5000 0.1887 Cu
0.5000 0.5000 0.5000 Cu
0.5458 0.5000 0.8113 Cu
0.8075 0.5000 0.3537 Cu
0.0726 0.5000 0.1526 Ir
0.9274 0.5000 0.8474 Ir
```

Space group: P2/m
Total DFT energy (no corrections): -60.47 eV for the cell shown
ΔE_f: -28.6 kJ/mol of atoms
DOS(E_F): 5.0 states/eV/cell

---

8.
Crystalline YCdRh at its relaxed geometry. Source: Alexandria via LeMat-Bulk, functional PBE.

POSCAR file:
```
YCdRh
1.0
3.7899 0.0000 0.0000
0.0000 7.5784 0.0000
0.0000 0.0000 9.4160
Y Cd Rh
4 4 4
direct
0.0000 0.0000 0.0000 Y
0.0000 0.5000 0.0876 Y
0.5000 0.0000 0.5876 Y
0.5000 0.5000 0.5000 Y
0.0000 0.3044 0.7450 Cd
0.0000 0.6956 0.7450 Cd
0.5000 0.1956 0.2450 Cd
0.5000 0.8044 0.2450 Cd
0.0000 0.2238 0.4585 Rh
0.0000 0.7762 0.4585 Rh
0.5000 0.2762 0.9585 Rh
0.5000 0.7238 0.9585 Rh
```

Space group: Imm2
Total DFT energy (no corrections): -65.07 eV for the cell shown
ΔE_f: -49.4 kJ/mol of atoms
DOS(E_F): 4.5 states/eV/cell

---

9.
Crystalline Nd3Er2TmAs6 at its relaxed geometry. Source: Alexandria via LeMat-Bulk, functional PBE.

POSCAR file:
```
Nd3Er2TmAs6
1.0
3.6184 -6.2657 0.0000
3.6184 6.2657 0.0000
-2.4088 0.0000 6.8118
Nd Er Tm As
3 2 1 6
direct
0.0000 0.0000 0.0000 Nd
0.3331 0.6669 0.0000 Nd
0.6669 0.3331 0.0000 Nd
0.1666 0.8334 0.5000 Er
0.8334 0.1666 0.5000 Er
0.5000 0.5000 0.5000 Tm
0.0880 0.4207 0.2621 As
0.2467 0.2467 0.7381 As
0.4207 0.0880 0.2621 As
0.5793 0.9120 0.7379 As
0.7533 0.7533 0.2619 As
0.9120 0.5793 0.7379 As
```

Space group: C2/m
Total DFT energy (no corrections): -73.85 eV for the cell shown
ΔE_f: -145.1 kJ/mol of atoms
DOS(E_F): 1.9 states/eV/cell

---

10.
Crystalline CaEu2Zn at its relaxed geometry. Source: Alexandria via LeMat-Bulk, functional PBE.

POSCAR file:
```
CaEu2Zn
1.0
5.1483 0.0000 0.0000
0.0000 5.1483 0.0000
0.0000 0.0000 5.0209
Ca Eu Zn
1 2 1
direct
0.0000 0.0000 0.0000 Ca
0.0000 0.5000 0.5000 Eu
0.5000 0.0000 0.5000 Eu
0.5000 0.5000 0.0000 Zn
```

Space group: P4/mmm
Total DFT energy (no corrections): -23.75 eV for the cell shown
ΔE_f: 1.9 kJ/mol of atoms
DOS(E_F): 4.0 states/eV/cell

---

11.
Crystalline RbMnFe2Br8 at its relaxed geometry. Source: Alexandria via LeMat-Bulk, functional PBE.

POSCAR file:
```
RbMnFe2Br8
1.0
5.5284 -3.7722 0.0000
5.5284 3.7722 0.0000
-1.1596 0.0000 9.8975
Rb Mn Fe Br
1 1 2 8
direct
0.0000 0.0000 0.0000 Rb
0.0000 0.0000 0.5000 Mn
0.3810 0.3810 0.7077 Fe
0.6190 0.6190 0.2923 Fe
0.2320 0.7391 0.3046 Br
0.2372 0.2372 0.5089 Br
0.2609 0.7680 0.6954 Br
0.3115 0.3115 0.9222 Br
0.6885 0.6885 0.0778 Br
0.7391 0.2320 0.3046 Br
0.7628 0.7628 0.4911 Br
0.7680 0.2609 0.6954 Br
```

ΔE_f (raw): -0.769 eV per atom
Space group: C2/m
Total DFT energy (no corrections): -49.68 eV for the cell shown
DOS(E_F): 8.4 states/eV/cell

---

12.
Crystalline Ba2Re at its relaxed geometry. Source: Alexandria via LeMat-Bulk, functional PBE.

POSCAR file:
```
Ba2Re
1.0
18.6040 0.0000 0.0000
0.0000 3.6866 0.0000
-2.5819 0.0000 6.6855
Ba Re
8 4
direct
0.1035 0.0000 0.0956 Ba
0.1496 0.0000 0.6400 Ba
0.3504 0.5000 0.3600 Ba
0.3965 0.5000 0.9044 Ba
0.6035 0.5000 0.0956 Ba
0.6496 0.5000 0.6400 Ba
0.8504 0.0000 0.3600 Ba
0.8965 0.0000 0.9044 Ba
0.0000 0.5000 0.3421 Re
0.0000 0.5000 0.6579 Re
0.5000 0.0000 0.3421 Re
0.5000 0.0000 0.6579 Re
```

Space group: C2/m
Total DFT energy (no corrections): -56.67 eV for the cell shown
ΔE_f: 68.4 kJ/mol of atoms
DOS(E_F): 12.4 states/eV/cell